The following is a DFT calculation (GGA-PBE) of a relaxed structure of ZrSc2In3.

Lattice parameters (Å, degrees): 3.1868 3.1868 13.2086 90.00 90.00 90.00
Site moments in Bohr magnetons follow the coordinates.
Sites, in units of the cell vectors:
Sc 0.5000 0.5000 0.1679  0.32
Sc 0.5000 0.5000 0.8321  0.32
In 0.0000 0.0000 0.0000  0.00
In 0.0000 0.0000 0.3331  0.00
In 0.0000 0.0000 0.6669  0.00
Zr 0.5000 0.5000 0.5000  -0.01

Calculated values
Space-group type: P4/mmm, No. 123
Calculated total energy in eV per cell: -31.79
Crystal system: tetragonal
Total magnetization in μB/f.u.: 0.9
DOS at the Fermi energy in states/eV/f.u.: 5.33
Energy relative to the elements in meV/atom: -393